A relaxed MoN3O crystal, computed with PBE with a Hubbard U.

## Properties
volume	8.6	Å³/atom
total magnetic moment	1.3	μB/f.u.
uncorrected energy	-5.221	eV per atom

The structure in extended XYZ format:
```
5
Lattice="-3.048 -1.039 1.370 -1.305 -0.419 -3.220 1.120 -3.316 -0.022" Properties=species:S:1:pos:R:3 pbc="T T T"
O 0.000 0.000 0.000
N -1.524 -0.520 0.685
N -0.652 -0.210 -1.610
N 0.560 -1.658 -0.011
Mo -1.616 -2.387 -0.936
```